A relaxed structure of Sr2CaLa, computed with GGA-PBE.

Calculated density   3.2 g/cm³
Crystal system   monoclinic
Energy of formation   0.117 eV per atom
DOS at the Fermi energy   5.2 states/eV/cell

a b c (Å): 3.8556 6.4104 7.4700
angles (deg): 90.00 99.73 90.00
Last column: nearest neighbours and their distance in Å.
Fractional coordinates of all 4 atoms:
Sr 0.2377 0.0000 0.2470  4 Sr 3.83-3.97, 2 Ca 3.91, 2 La 3.92
Sr 0.7623 0.0000 0.7530  4 Sr 3.83-3.97, 2 Ca 3.91, 2 La 3.92
Ca 0.0000 0.5000 0.5000  2 Ca 3.86, 2 La 3.90, 4 Sr 3.91
La 0.5000 0.5000 0.0000  2 La 3.86, 2 Ca 3.90, 4 Sr 3.92

A relaxed structure of Gd2ScTa, computed with GGA-PBE.

Calculated density   8.8 g/cm³
Crystal system   trigonal
Energy of formation   0.571 eV per atom
DOS at the Fermi energy   6.0 states/eV/cell

a b c (Å): 11.5933 11.5933 11.5933
angles (deg): 15.88 15.88 15.88
Last column: nearest neighbours and their distance in Å.
Fractional coordinates of all 4 atoms:
Gd 0.0855 0.0855 0.0855  1 Ta 2.94, 6 Gd 3.20
Gd 0.9145 0.9145 0.9145  1 Ta 2.94, 6 Gd 3.20
Sc 0.5000 0.5000 0.5000  6 Sc 3.20, 6 Gd 3.34
Ta 0.0000 0.0000 0.0000  2 Gd 2.94, 6 Ta 3.20

A relaxed structure of K2SbI, computed with GGA-PBE.

Calculated density   3.3 g/cm³
Crystal system   tetragonal
Energy relative to the elements, uncorrected   -483 meV per atom
DOS at the Fermi energy   5.7 states/eV/cell

a b c (Å): 7.6574 7.6574 7.6574
angles (deg): 102.51 102.51 124.51
Last column: nearest neighbours and their distance in Å.
Fractional coordinates of all 8 atoms:
K 0.1176 0.1250 0.4926  2 I 3.46, 2 Sb 3.55, 2 K 3.57
K 0.3750 0.8824 0.0074  2 I 3.46, 2 Sb 3.55, 2 K 3.57
K 0.6324 0.6250 0.5074  2 I 3.46, 2 Sb 3.55, 2 K 3.57
K 0.8750 0.3676 0.9926  2 I 3.46, 2 Sb 3.55, 2 K 3.57
Sb 0.2500 0.7500 0.5000  4 K 3.55, 2 I 3.56
Sb 0.5000 0.5000 0.0000  4 K 3.55, 2 I 3.56
I 0.0000 0.0000 0.0000  4 K 3.46, 2 Sb 3.56
I 0.7500 0.2500 0.5000  4 K 3.46, 2 Sb 3.56

- Among the records above, which one has the highest DOS at the Fermi energy?
  Gd2ScTa

- Look up the calculated density of the first one.
  3.2 g/cm³

- Which value of DOS at the Fermi energy does entry 2 give?
  6.0 states/eV/cell

- Which formula does entry 3 have?
  K2SbI